Record 1
The following is a PBE-GGA calculation of an optimized crystal structure of InCuI2O, from Alexandria via LeMat-Bulk.

Energy relative to the elements, uncorrected   -0.0147 eV/atom
Symmetry   P4/mmm (123)
Fermi-level density of states   1.098 states/eV/cell

Lattice parameters (Å, degrees): 6.031 6.031 3.932 90.00 90.00 90.00
Positions (direct):
1 O 0.000 0.000 0.500
2 I 0.000 0.500 0.000
3 I 0.500 0.000 0.000
4 In 0.000 0.000 0.000
5 Cu 0.500 0.500 0.500


Record 2
The following is a PBE-GGA calculation of an optimized crystal structure of ZnRe2Ru, from Alexandria via LeMat-Bulk.

Symmetry   I-42d (122)
Fermi-level density of states   7.576 states/eV/cell
Raw total energy   -7.9756 eV per atom

Lattice parameters (Å, degrees): 7.175 7.175 5.675 50.79 50.79 90.00
Positions (direct):
1 Ru 0.750 0.250 0.500
2 Ru 0.000 0.000 0.000
3 Zn 0.250 0.750 0.500
4 Zn 0.500 0.500 0.000
5 Re 0.875 0.905 0.750
6 Re 0.095 0.625 0.250
7 Re 0.655 0.125 0.250
8 Re 0.375 0.345 0.750


Record 3
The following is a PBE-GGA calculation of an optimized crystal structure of CaBi2OsW, from Alexandria via LeMat-Bulk.

Symmetry   P4/mmm (123)
Fermi-level density of states   5.625 states/eV/cell
Raw total energy   -5.8857 eV per atom

Lattice parameters (Å, degrees): 5.408 4.876 5.408 90.00 90.00 90.00
Positions (direct):
1 Bi 0.500 0.000 0.000
2 Bi 0.000 0.000 0.500
3 Os 0.000 0.500 0.000
4 W 0.000 0.000 0.000
5 Ca 0.500 0.500 0.500


Record 4
The following is a PBE-GGA calculation of an optimized crystal structure of YHfSc3, from Alexandria via LeMat-Bulk.

Symmetry   Pm-3m (221)
Fermi-level density of states   6.476 states/eV/cell
Raw total energy   -5.9736 eV per atom

Lattice parameters (Å, degrees): 5.103 5.103 5.103 90.00 90.00 90.00
Positions (direct):
1 Sc 0.000 0.500 0.000
2 Sc 0.500 0.000 0.000
3 Sc 0.000 0.000 0.500
4 Y 0.000 0.000 0.000
5 Hf 0.500 0.500 0.500


Record 5
The following is a PBE-GGA calculation of an optimized crystal structure of TbSm3Mg8, from Alexandria via LeMat-Bulk.

Symmetry   R3m (160)
Fermi-level density of states   11.965 states/eV/cell
Raw total energy   -2.7171 eV per atom

Lattice parameters (Å, degrees): 6.093 6.093 10.504 73.14 73.14 60.00
Positions (direct):
1 Mg 0.938 0.438 0.686
2 Mg 0.187 0.187 0.438
3 Mg 0.938 0.938 0.686
4 Mg 0.437 0.937 0.188
5 Mg 0.687 0.687 0.938
6 Mg 0.937 0.437 0.188
7 Mg 0.437 0.437 0.188
8 Mg 0.438 0.938 0.686
9 Sm 0.000 0.000 0.001
10 Sm 0.500 0.500 0.500
11 Sm 0.375 0.375 0.875
12 Tb 0.875 0.875 0.375


Record 6
The following is a PBE-GGA calculation of an optimized crystal structure of HoEr5Tl6, from Alexandria via LeMat-Bulk.

Symmetry   C2/m (12)
Fermi-level density of states   10.831 states/eV/cell
Raw total energy   -3.7071 eV per atom

Lattice parameters (Å, degrees): 6.462 9.811 7.415 48.58 81.68 77.37
Positions (direct):
1 Er 0.000 0.334 0.333
2 Er 0.500 0.500 0.000
3 Er 0.500 0.833 0.333
4 Er 0.500 0.167 0.667
5 Er 0.000 0.666 0.667
6 Tl 0.749 0.083 0.334
7 Tl 0.251 0.583 0.334
8 Tl 0.749 0.417 0.666
9 Tl 0.251 0.917 0.666
10 Tl 0.251 0.250 0.000
11 Tl 0.749 0.750 0.000
12 Ho 0.000 0.000 0.000


Record 7
The following is a PBE-GGA calculation of an optimized crystal structure of YW4, from Alexandria via LeMat-Bulk.

Symmetry   R-3m (166)
Fermi-level density of states   4.763 states/eV/cell
Raw total energy   -11.0549 eV per atom

Lattice parameters (Å, degrees): 11.387 11.387 11.387 15.57 15.57 15.57
Positions (direct):
1 Y 0.000 0.000 0.000
2 W 0.590 0.590 0.590
3 W 0.801 0.801 0.801
4 W 0.199 0.199 0.199
5 W 0.410 0.410 0.410


Record 8
The following is a PBE-GGA calculation of an optimized crystal structure of Dy2YIr3, from Alexandria via LeMat-Bulk.

Symmetry   P-3m1 (164)
Fermi-level density of states   2.747 states/eV/cell
Raw total energy   -7.8468 eV per atom

Lattice parameters (Å, degrees): 4.853 4.853 5.938 90.00 90.00 120.00
Positions (direct):
1 Y 0.000 0.000 0.000
2 Ir 0.333 0.667 0.168
3 Ir 0.667 0.333 0.832
4 Ir 0.000 0.000 0.500
5 Dy 0.333 0.667 0.667
6 Dy 0.667 0.333 0.333